1.
First-principles (GGA-PBE) data for PmGd2Cd after structural relaxation, as listed in the Alexandria database.

a = 3.6361 Å, b = 3.6361 Å, c = 9.1730 Å
α = 90.00°, β = 90.00°, γ = 90.00°
Last column: nearest neighbours and their distance in Å.
Element x y z (fractional)
1 Pm 0.0000 0.0000 0.0000  8 Gd 3.61, 4 Pm 3.64
2 Gd 0.5000 0.5000 0.2764  4 Cd 3.29, 4 Pm 3.61, 4 Gd 3.64
3 Gd 0.5000 0.5000 0.7236  4 Cd 3.29, 4 Pm 3.61, 4 Gd 3.64
4 Cd 0.0000 0.0000 0.5000  8 Gd 3.29, 4 Cd 3.64

Results
* E_form: -0.1534 eV per atom
* crystal system: tetragonal
* energy above the most stable polymorph in this dataset: 0 meV/atom
* calculated total energy: -0.6328 Ry/atom

***

2.
First-principles (GGA-PBE) data for Y2Bi2H3 after structural relaxation, as listed in the Alexandria database.

a = 6.2777 Å, b = 6.2777 Å, c = 7.2748 Å
α = 121.80°, β = 121.80°, γ = 33.29°
Last column: nearest neighbours and their distance in Å.
Element x y z (fractional)
1 Y 0.1458 0.1458 0.2481  3 H 2.14-2.15
2 Y 0.8542 0.8542 0.7519  3 H 2.14-2.15
3 Bi 0.1324 0.1324 0.7641  4 Y 3.26-3.44, 7 H 3.28-3.62, 5 Bi 3.38-3.60
4 Bi 0.8676 0.8676 0.2359  4 Y 3.26-3.44, 7 H 3.28-3.62, 5 Bi 3.38-3.60
5 H 0.3258 0.3258 0.5699  3 Y 2.14-2.15, 2 H 2.36
6 H 0.5000 0.5000 0.0000  4 Y 2.47, 2 H 2.64
7 H 0.6742 0.6742 0.4301  3 Y 2.14-2.15, 2 H 2.36

Results
* crystal system: monoclinic
* calculated total energy: -0.3609 Ry/atom

***

3.
First-principles (GGA-PBE) data for TbCe3Pm4Te8 after structural relaxation, as listed in the Alexandria database.

a = 8.9443 Å, b = 8.9443 Å, c = 8.9443 Å
α = 59.73°, β = 59.73°, γ = 59.73°
Last column: nearest neighbours and their distance in Å.
Element x y z (fractional)
1 Tb 0.0000 0.0000 0.0000  6 Te 3.12
2 Ce 0.0000 0.5000 0.5000  6 Te 3.16
3 Ce 0.5000 0.0000 0.5000  6 Te 3.16
4 Ce 0.5000 0.5000 0.0000  6 Te 3.16
5 Pm 0.0000 0.0000 0.5000  6 Te 3.15
6 Pm 0.0000 0.5000 0.0000  6 Te 3.15
7 Pm 0.5000 0.0000 0.0000  6 Te 3.15
8 Pm 0.5000 0.5000 0.5000  6 Te 3.19
9 Te 0.2464 0.7526 0.7526  1 Tb 3.12, 3 Pm 3.15-3.19, 2 Ce 3.16
10 Te 0.2474 0.2474 0.7536  1 Tb 3.12, 3 Pm 3.15-3.19, 2 Ce 3.16
11 Te 0.2474 0.7536 0.2474  1 Tb 3.12, 3 Pm 3.15-3.19, 2 Ce 3.16
12 Te 0.2494 0.2494 0.2494  3 Pm 3.15, 3 Ce 3.16
13 Te 0.7506 0.7506 0.7506  3 Pm 3.15, 3 Ce 3.16
14 Te 0.7526 0.2464 0.7526  1 Tb 3.12, 3 Pm 3.15-3.19, 2 Ce 3.16
15 Te 0.7526 0.7526 0.2464  1 Tb 3.12, 3 Pm 3.15-3.19, 2 Ce 3.16
16 Te 0.7536 0.2474 0.2474  1 Tb 3.12, 3 Pm 3.15-3.19, 2 Ce 3.16

Results
* crystal system: trigonal
* E_form (uncorrected): -1.3852 eV/atom
* calculated total energy: -0.4076 Ry/atom

***

4.
First-principles (GGA-PBE) data for Cu9GeAu2 after structural relaxation, as listed in the Alexandria database.

a = 3.7939 Å, b = 3.7939 Å, c = 11.1168 Å
α = 90.00°, β = 90.00°, γ = 90.00°
Last column: nearest neighbours and their distance in Å.
Element x y z (fractional)
1 Cu 0.0000 0.0000 0.0000  8 Cu 2.60, 4 Ge 2.68
2 Cu 0.0000 0.0000 0.3283  8 Cu 2.67-2.69, 4 Au 2.68
3 Cu 0.0000 0.0000 0.6717  8 Cu 2.67-2.69, 4 Au 2.68
4 Cu 0.0000 0.5000 0.1594  2 Ge 2.60, 8 Cu 2.60-2.68, 2 Au 2.70
5 Cu 0.0000 0.5000 0.5000  4 Au 2.66, 8 Cu 2.68-2.69
6 Cu 0.0000 0.5000 0.8406  2 Ge 2.60, 8 Cu 2.60-2.68, 2 Au 2.70
7 Cu 0.5000 0.0000 0.1594  2 Ge 2.60, 8 Cu 2.60-2.68, 2 Au 2.70
8 Cu 0.5000 0.0000 0.5000  4 Au 2.66, 8 Cu 2.68-2.69
9 Cu 0.5000 0.0000 0.8406  2 Ge 2.60, 8 Cu 2.60-2.68, 2 Au 2.70
10 Ge 0.5000 0.5000 0.0000  12 Cu 2.60-2.68
11 Au 0.5000 0.5000 0.3322  12 Cu 2.66-2.70
12 Au 0.5000 0.5000 0.6678  12 Cu 2.66-2.70

Results
* E_form: -0.0192 eV per atom
* crystal system: tetragonal
* calculated total energy: -0.2956 Ry/atom